This record from Alexandria via LeMat-Bulk describes an optimized crystal structure of Ho2SnBr. The functional is PBE.

extended XYZ file:
```
4
Lattice="1.7627 1.0177 10.7940 -1.7627 1.0177 10.7940 0.0000 -2.0354 10.7940" Properties=species:S:1:pos:R:3 pbc="T T T"
Ho 0.0000 0.0000 3.0569
Ho 0.0000 0.0000 29.3250
Sn 0.0000 0.0000 0.0000
Br 0.0000 0.0000 16.1909
```

Summary:
V: 29.04 A^3/atom
Formation energy without anion corrections: -425 meV/atom
Crystal system: trigonal
Space-group type: R-3m
D(E_F): 1.9 states/eV per cell
VASP energy: -16.53 eV for the cell shown



This record from Alexandria via LeMat-Bulk describes an optimized crystal structure of HoSnBr2. The functional is PBE.

extended XYZ file:
```
4
Lattice="1.8559 1.0715 10.6223 -1.8559 1.0715 10.6223 0.0000 -2.1430 10.6223" Properties=species:S:1:pos:R:3 pbc="T T T"
Ho 0.0000 0.0000 0.0000
Sn 0.0000 0.0000 15.9334
Br 0.0000 0.0000 2.6951
Br 0.0000 0.0000 29.1717
```

Summary:
V: 31.69 A^3/atom
Formation energy without anion corrections: -569 meV/atom
Crystal system: trigonal
Space-group type: R-3m
D(E_F): 1.4 states/eV per cell
VASP energy: -14.20 eV for the cell shown



This record from Alexandria via LeMat-Bulk describes an optimized crystal structure of HoTlSn2Br8. The functional is PBE.

extended XYZ file:
```
12
Lattice="6.8422 0.0000 0.0000 0.1527 7.2275 0.0000 0.0171 0.0165 9.0833" Properties=species:S:1:pos:R:3 pbc="T T T"
Ho 0.0000 0.0000 0.0000
Tl 0.0086 0.0083 4.5416
Sn 3.5040 3.6195 2.2778
Sn 3.5080 3.6246 6.8055
Br 1.6878 2.3016 9.0786
Br 1.7809 6.0866 1.9777
Br 1.7914 6.0967 7.1042
Br 1.9426 2.6659 4.5510
Br 5.0694 4.5781 4.5323
Br 5.2206 1.1473 1.9791
Br 5.2311 1.1574 7.1056
Br 5.3242 4.9424 0.0047
```

Summary:
V: 37.43 A^3/atom
Formation energy without anion corrections: -1125 meV/atom
Crystal system: triclinic
Space-group type: P-1
D(E_F): 0.0 states/eV per cell
VASP energy: -41.83 eV for the cell shown



This record from Alexandria via LeMat-Bulk describes an optimized crystal structure of SrHoBr6. The functional is PBE.

extended XYZ file:
```
8
Lattice="7.2457 0.0000 0.0000 3.4306 6.4621 0.0000 3.2868 1.5594 6.3758" Properties=species:S:1:pos:R:3 pbc="T T T"
Sr 0.0000 0.0000 0.0000
Ho 6.9815 4.0107 3.1879
Br 5.4884 5.8837 4.5584
Br 4.8323 3.9186 1.3183
Br 5.7529 1.9691 4.6205
Br 8.2102 6.0523 1.7552
Br 9.1308 4.1028 5.0574
Br 8.4747 2.1378 1.8174
```

Summary:
V: 37.32 A^3/atom
Formation energy without anion corrections: -1588 meV/atom
Crystal system: triclinic
Space-group type: P-1
D(E_F): 7.9 states/eV per cell
VASP energy: -29.00 eV for the cell shown



This record from Alexandria via LeMat-Bulk describes an optimized crystal structure of Sr2HoTlBr8. The functional is PBE.

extended XYZ file:
```
12
Lattice="6.8825 0.0000 0.0000 0.0000 9.4377 0.0000 -0.0072 0.0000 7.1820" Properties=species:S:1:pos:R:3 pbc="T T T"
Sr 0.0000 2.3608 0.0000
Sr 0.0000 7.0770 0.0000
Ho 3.4376 0.0000 3.5910
Tl 3.4376 4.7189 3.5910
Br 1.5945 4.7189 6.2122
Br 1.7046 0.0000 5.8854
Br 1.8607 1.9922 2.4518
Br 1.8607 7.4455 2.4518
Br 5.0145 1.9922 4.7302
Br 5.0145 7.4455 4.7302
Br 5.1707 0.0000 1.2966
Br 5.2807 4.7189 0.9698
```

Summary:
V: 38.88 A^3/atom
Formation energy without anion corrections: -1803 meV/atom
Crystal system: monoclinic
Space-group type: P2/m
D(E_F): 0.0 states/eV per cell
VASP energy: -45.33 eV for the cell shown



This record from Alexandria via LeMat-Bulk describes an optimized crystal structure of Ho2TaBr. The functional is PBE.

extended XYZ file:
```
4
Lattice="1.6366 0.9449 10.7046 -1.6366 0.9449 10.7046 0.0000 -1.8898 10.7046" Properties=species:S:1:pos:R:3 pbc="T T T"
Ho 0.0000 0.0000 2.9524
Ho 0.0000 0.0000 29.1615
Ta 0.0000 0.0000 0.0000
Br 0.0000 0.0000 16.0569
```

Summary:
V: 24.83 A^3/atom
Formation energy without anion corrections: 183 meV/atom
Crystal system: trigonal
Space-group type: R-3m
D(E_F): 4.0 states/eV per cell
VASP energy: -21.95 eV for the cell shown



This record from Alexandria via LeMat-Bulk describes an optimized crystal structure of TbHoBr6. The functional is PBE.

extended XYZ file:
```
8
Lattice="3.5348 2.0408 6.4006 -3.5348 2.0408 6.4006 0.0000 -4.0816 6.4006" Properties=species:S:1:pos:R:3 pbc="T T T"
Tb 0.0000 0.0000 0.0000
Ho 0.0000 0.0000 9.6010
Br -1.0987 -2.0285 8.0076
Br -2.3061 -0.0628 11.1944
Br -1.2074 1.9657 8.0076
Br 1.2074 -1.9657 11.1944
Br 2.3061 0.0628 8.0076
Br 1.0987 2.0285 11.1944
```

Summary:
V: 34.63 A^3/atom
Formation energy without anion corrections: -1821 meV/atom
Excess energy over the best structure of this formula in the dataset: 0.0191 eV/atom
Crystal system: trigonal
Space-group type: R-3
D(E_F): 0.0 states/eV per cell
VASP energy: -33.81 eV for the cell shown



This record from Alexandria via LeMat-Bulk describes an optimized crystal structure of TbHoBr6. The functional is PBE.

extended XYZ file:
```
8
Lattice="3.4766 -6.7499 0.0000 3.4766 6.7499 0.0000 -2.0589 0.0000 6.6410" Properties=species:S:1:pos:R:3 pbc="T T T"
Tb 0.0000 0.0000 0.0000
Ho 2.4472 0.0000 3.3205
Br 1.2364 1.9226 1.6732
Br 0.2037 0.0000 4.9742
Br 1.2364 -1.9226 1.6732
Br 3.6579 1.9226 4.9678
Br 4.6906 0.0000 1.6668
Br 3.6579 -1.9226 4.9678
```

Summary:
V: 38.96 A^3/atom
Formation energy without anion corrections: -1840 meV/atom
Excess energy over the best structure of this formula in the dataset: 0.0000 eV/atom
Crystal system: monoclinic
Space-group type: C2/m
D(E_F): 0.0 states/eV per cell
VASP energy: -33.96 eV for the cell shown